Entry 1:
# LuReTc2

A relaxed structure of LuReTc2 (PBE-GGA, Alexandria via LeMat-Bulk).

Energy relative to the elements   -0.12 eV/f.u.

Cell lengths 4.515, 4.515, 4.515 Å; angles 60.00, 60.00, 60.00 degrees
Fractional positions:
Lu  0.000  0.000  0.000
Re  0.500  0.500  0.500
Tc  0.250  0.250  0.250
Tc  0.750  0.750  0.750

=====

Entry 2:
# LuReTcW

A relaxed structure of LuReTcW (PBE-GGA, Alexandria via LeMat-Bulk).

Energy relative to the elements   -0.05 eV/f.u.

Cell lengths 4.558, 4.558, 4.558 Å; angles 60.00, 60.00, 60.00 degrees
Fractional positions:
Lu  0.000  0.000  0.000
Re  0.750  0.750  0.750
Tc  0.250  0.250  0.250
W  0.500  0.500  0.500

=====

Entry 3:
# LuThRe

A relaxed structure of LuThRe (PBE-GGA, Alexandria via LeMat-Bulk).

Energy relative to the elements   0.07 eV/f.u.

Cell lengths 6.944, 6.944, 6.944 Å; angles 151.21, 151.21, 41.16 degrees
Fractional positions:
Lu  0.000  0.000  0.000
Th  0.259  0.259  0.000
Re  0.630  0.630  0.000

=====

What spin magnetization values result from the calculations? In sequence: 0.000; 0.000; 0.000 μB/atom.
What calculated volume values result from the calculations? In sequence: 65.09; 66.96; 77.49 Å³ per cell.